(1)
Density functional theory data (GGA-PBE) for a relaxed structure of SrCa2VN4.

The structure belongs to space group Pmn2_1 (No. 31); the cell edges are 7.5734, 6.5230 and 5.6284 Å and the angles 90.00°, 90.00° and 90.00°. The inequivalent atoms are Sr at (0.0000, 0.1348, 0.0000), Ca at (0.2436, 0.3342, 0.5069), V at (0.0000, 0.8132, 0.5325), N at (0.0000, 0.0937, 0.4739), N at (0.0000, 0.7864, 0.8477) and N at (0.2030, 0.6881, 0.4254).



(2)
Density functional theory data (GGA-PBE) for a relaxed structure of SrCa2WN4.

The structure belongs to space group Pmn2_1 (No. 31); the cell edges are 7.7771, 6.5263 and 5.6477 Å and the angles 90.00°, 90.00° and 90.00°. The inequivalent atoms are Sr at (0.0000, 0.1508, 0.0000), Ca at (0.2451, 0.3281, 0.5086), W at (0.0000, 0.8151, 0.5312), N at (0.0000, 0.1028, 0.4665), N at (0.0000, 0.7958, 0.8615) and N at (0.2046, 0.6825, 0.4278).



(3)
Density functional theory data (GGA-PBE) for a relaxed structure of SrCa2WN4.

The structure belongs to space group Pbca (No. 61); the cell edges are 9.3573, 11.4123 and 10.2241 Å and the angles 90.00°, 90.00° and 90.00°. The inequivalent atoms are Sr at (0.1892, 0.1183, 0.2203), Ca at (0.0281, 0.1020, 0.6211), Ca at (0.1312, 0.6386, 0.5336), W at (0.1912, 0.1119, 0.8978), N at (0.0525, 0.0047, 0.8373), N at (0.1048, 0.2299, 0.9999), N at (0.1828, 0.5260, 0.0060) and N at (0.2068, 0.6749, 0.7560).



(4)
Density functional theory data (GGA-PBE) for a relaxed structure of SrCa2ZnN.

The structure belongs to space group P4/mmm (No. 123); the cell edges are 4.8804, 4.8804 and 5.3382 Å and the angles 90.00°, 90.00° and 90.00°. The inequivalent atoms are Sr at (0.0000, 0.0000, 0.0000), Ca at (0.0000, 0.5000, 0.5000), Zn at (0.5000, 0.5000, 0.0000) and N at (0.0000, 0.0000, 0.5000).



(5)
Density functional theory data (GGA-PBE) for a relaxed structure of SrCa2ZrN.

The structure belongs to space group P4/mmm (No. 123); the cell edges are 6.4620, 6.4620 and 5.4106 Å and the angles 90.00°, 90.00° and 90.00°. The inequivalent atoms are Sr at (0.0000, 0.0000, 0.0000), Ca at (0.0000, 0.5000, 0.0000), Zr at (0.0000, 0.0000, 0.5000) and N at (0.5000, 0.5000, 0.5000).



(6)
Density functional theory data (GGA-PBE) for a relaxed structure of CaTaN2.

The structure belongs to space group R3m (No. 160, hexagonal axes); the cell edges are 3.1509, 3.1509 and 17.3331 Å and the angles 90.00°, 90.00° and 120.00°. The inequivalent atoms are Ca at (0.0000, 0.0000, 0.0000), Ta at (0.0000, 0.0000, 0.1742), N at (0.0000, 0.0000, 0.5768) and N at (0.0000, 0.0000, 0.7703).



(7)
Density functional theory data (GGA-PBE) for a relaxed structure of Ca3Ta5N12.

The structure belongs to space group Ia-3d (No. 230); the cell edges are 13.1524, 13.1524 and 13.1524 Å and the angles 90.00°, 90.00° and 90.00°. The inequivalent atoms are Ca at (0.0000, 0.2500, 0.1250), Ta at (0.0000, 0.0000, 0.0000), Ta at (0.0000, 0.2500, 0.3750) and N at (0.0329, 0.0510, 0.6466).



(8)
Density functional theory data (GGA-PBE) for a relaxed structure of CaTaN3.

The structure belongs to space group Pm-3m (No. 221); the cell edges are 3.9717, 3.9717 and 3.9717 Å and the angles 90.00°, 90.00° and 90.00°. The inequivalent atoms are Ca at (0.0000, 0.0000, 0.0000), Ta at (0.5000, 0.5000, 0.5000) and N at (0.0000, 0.0000, 0.5000).



(9)
Density functional theory data (GGA-PBE) for a relaxed structure of CaTa2N4.

The structure belongs to space group Cmcm (No. 63); the cell edges are 3.1054, 10.3370 and 10.5545 Å and the angles 90.00°, 90.00° and 90.00°. The inequivalent atoms are Ca at (0.0000, 0.1105, 0.2500), Ta at (0.0000, 0.3662, 0.0759), N at (0.0000, 0.0000, 0.0000), N at (0.0000, 0.2583, 0.6092) and N at (0.0000, 0.4382, 0.2500).



(10)
Density functional theory data (GGA-PBE) for a relaxed structure of Ca2TaN3.

The structure belongs to space group Cmc2_1 (No. 36); the cell edges are 9.7975, 6.2367 and 5.7058 Å and the angles 90.00°, 90.00° and 90.00°. The inequivalent atoms are Ca at (0.1656, 0.1459, 0.0000), Ta at (0.0000, 0.4005, 0.4425), N at (0.0000, 0.1094, 0.3413) and N at (0.1426, 0.4670, 0.7255).



(11)
Density functional theory data (GGA-PBE) for a relaxed structure of Ca3TaN.

The structure belongs to space group Pm-3m (No. 221); the cell edges are 4.9299, 4.9299 and 4.9299 Å and the angles 90.00°, 90.00° and 90.00°. The inequivalent atoms are Ca at (0.0000, 0.0000, 0.5000), Ta at (0.5000, 0.5000, 0.5000) and N at (0.0000, 0.0000, 0.0000).



(12)
Density functional theory data (GGA-PBE) for a relaxed structure of Ca2TaN3.

The structure belongs to space group Cmc2_1 (No. 36); the cell edges are 11.3916, 6.7228 and 5.1840 Å and the angles 90.00°, 90.00° and 90.00°. The inequivalent atoms are Ca at (0.1647, 0.1641, 0.0000), Ta at (0.0000, 0.3410, 0.5316), N at (0.0000, 0.3744, 0.9091) and N at (0.1431, 0.1909, 0.4722).



Number 1: DFT total energy -110.33 eV/cell. Number 2: DFT total energy -120.77 eV/cell. Number 3: DFT total energy -483.34 eV/cell. Number 4: DFT total energy -17.49 eV/cell. Number 5: DFT total energy -11.21 eV/cell. Number 6: DFT total energy -104.75 eV/cell. Number 7: DFT total energy -1431.15 eV/cell. Number 8: DFT total energy -29.16 eV/cell. Number 9: DFT total energy -268.70 eV/cell. Number 10: DFT total energy -192.55 eV/cell. Number 11: DFT total energy -24.51 eV/cell. Number 12: DFT total energy -193.95 eV/cell.